Compound: LaCu2Hg
Source: Alexandria
Functional: PBE
Structure: relaxed

abc: 9.688 9.688 9.688
angles: 151.94 151.94 40.10
Fractional positions:
La  0.000  0.000  0.000
La  0.750  0.250  0.500
Cu  0.355  0.625  0.230
Cu  0.375  0.605  0.730
Cu  0.395  0.125  0.770
Cu  0.875  0.645  0.270
Hg  0.250  0.750  0.500
Hg  0.500  0.500  0.000

Properties
Space group   No. 122
Formation enthalpy at 0 K   0.074 eV/atom
DOS(E_F)   11.05 states/eV/cell
Volume   201 Å³/cell
Total energy   -3.28 eV/atom